# 1
This record from Alexandria describes a relaxed structure of MgMnSb2. The functional is PBE-GGA.

## Properties
Density, g/cm3: 4.57
V, Å³/cell: 234
Energy relative to the elements, uncorrected, eV per atom: 0.390
Space group: I-42d

a b c (Å): 6.2947 6.2947 7.4017
angles (deg): 64.84 64.84 90.00
Last column: nearest neighbours and their distance in Å.
Fractional coordinates of all 8 atoms:
Mn 0.7500 0.2500 0.5000  4 Sb 2.47
Mn 0.0000 0.0000 0.0000  4 Sb 2.47
Mg 0.2500 0.7500 0.5000  4 Sb 2.91
Mg 0.5000 0.5000 0.0000  4 Sb 2.91
Sb 0.6851 0.1250 0.2500  2 Mn 2.47
Sb 0.0649 0.6250 0.2500  2 Mn 2.47
Sb 0.8750 0.9351 0.7500  2 Mn 2.47
Sb 0.3750 0.3149 0.7500  2 Mn 2.47

# 2
This record from Alexandria describes a relaxed structure of Mg14MnSb. The functional is PBE-GGA.

## Properties
Density, g/cm3: 2.41
V, Å³/cell: 357
Distance to the lowest polymorph of the same formula, meV/atom: 4
Energy relative to the elements, uncorrected, eV per atom: 0.020
Space group: Amm2

a b c (Å): 6.3571 6.3571 10.2419
angles (deg): 90.00 90.00 120.52
Last column: nearest neighbours and their distance in Å.
Fractional coordinates of all 16 atoms:
Mg 0.8312 0.6665 0.0000  12 Mg 3.13-3.21
Mg 0.3335 0.1688 0.0000  12 Mg 3.13-3.21
Mg 0.8334 0.1666 0.0000  12 Mg 3.15-3.19
Mg 0.1605 0.3271 0.7433  1 Mn 3.07, 10 Mg 3.08-3.23, 1 Sb 3.12
Mg 0.8341 0.6653 0.5000  8 Mg 3.10-3.16, 2 Sb 3.14-3.21, 2 Mn 3.15-3.20
Mg 0.3347 0.1659 0.5000  8 Mg 3.10-3.16, 2 Sb 3.14-3.21, 2 Mn 3.15-3.20
Mg 0.3337 0.6663 0.0000  12 Mg 3.15-3.22
Mg 0.6729 0.8395 0.7433  1 Mn 3.07, 10 Mg 3.08-3.23, 1 Sb 3.12
Mg 0.1605 0.3271 0.2567  1 Mn 3.07, 10 Mg 3.08-3.23, 1 Sb 3.12
Mg 0.6729 0.8395 0.2567  1 Mn 3.07, 10 Mg 3.08-3.23, 1 Sb 3.12
Mg 0.6700 0.3300 0.2565  1 Mn 3.07, 11 Mg 3.10-3.23
Mg 0.6700 0.3300 0.7435  1 Mn 3.07, 11 Mg 3.10-3.23
Mg 0.1651 0.8349 0.2483  11 Mg 3.13-3.21, 1 Sb 3.16
Mg 0.1651 0.8349 0.7517  11 Mg 3.13-3.21, 1 Sb 3.16
Sb 0.3306 0.6694 0.5000  10 Mg 3.12-3.21, 2 Mn 3.15
Mn 0.8318 0.1682 0.5000  10 Mg 3.07-3.20, 2 Sb 3.15

# 3
This record from Alexandria describes a relaxed structure of MgMnSb4. The functional is PBE-GGA.

## Properties
Density, g/cm3: 5.57
V, Å³/cell: 169
Energy relative to the elements, uncorrected, eV per atom: 0.493
Space group: F-43m

a b c (Å): 6.2052 6.2052 6.2052
angles (deg): 60.00 60.00 60.00
Last column: nearest neighbours and their distance in Å.
Fractional coordinates of all 6 atoms:
Sb 0.3750 0.3750 0.3750  6 Sb 3.10
Sb 0.8751 0.3750 0.3750  6 Sb 3.10
Sb 0.3750 0.8751 0.3750  6 Sb 3.10
Sb 0.3750 0.3750 0.8751  6 Sb 3.10
Mg 0.7500 0.7500 0.7500  12 Sb 3.64, 4 Mn 3.80
Mn 0.0000 0.0000 0.0000  12 Sb 3.64, 4 Mg 3.80

Question: density of number 1 (MgMnSb2)?
Answer: 4.57 g/cm3

Question: Look up the energy relative to the elements, uncorrected of the first one.
Answer: 0.390 eV per atom

Question: Which formula does entry 3 have?
Answer: MgMnSb4